No. 1
VASP calculation (PBEsol) on an optimized crystal structure of MgSb2Cl.

```
data_MgSb2Cl
_chemical_formula_sum 'Mg2 Sb4 Cl2'
_symmetry_space_group_name_H-M 'C m m m'
_symmetry_Int_Tables_number 65
_symmetry_space_group_name_Hall '-C 2 2'
_cell_length_a 5.710
_cell_length_b 10.935
_cell_length_c 3.154
_cell_angle_alpha 90.00
_cell_angle_beta 90.00
_cell_angle_gamma 90.00
loop_
_atom_site_label
_atom_site_type_symbol
_atom_site_fract_x
_atom_site_fract_y
_atom_site_fract_z
Mg1 Mg 0.000 0.000 0.000
Sb1 Sb 0.250 0.250 0.500
Cl1 Cl 0.000 0.500 0.000
```

Properties
relative energy among the computed polymorphs = 364 meV/atom
M_tot = 0.0 μB/f.u.
formation energy without anion corrections = -129 meV per atom

---

No. 2
VASP calculation (PBEsol) on an optimized crystal structure of Cd4P2Br3.

```
data_Cd4P2Br3
_chemical_formula_sum 'Cd32 P16 Br24'
_symmetry_space_group_name_H-M 'P a -3'
_symmetry_Int_Tables_number 205
_symmetry_space_group_name_Hall '-P 2ac 2ab 3'
_cell_length_a 12.329
_cell_length_b 12.329
_cell_length_c 12.329
_cell_angle_alpha 90.00
_cell_angle_beta 90.00
_cell_angle_gamma 90.00
loop_
_atom_site_label
_atom_site_type_symbol
_atom_site_fract_x
_atom_site_fract_y
_atom_site_fract_z
Cd1 Cd 0.007 0.247 0.032
Cd2 Cd 0.221 0.721 0.779
P1 P 0.051 0.051 0.051
P2 P 0.105 0.605 0.895
Br1 Br 0.063 0.236 0.311
```

Properties
M_tot = 0.0 μB/f.u.
formation energy without anion corrections = -451 meV per atom

---

No. 3
VASP calculation (PBEsol) on an optimized crystal structure of IrRuRh2.

```
data_IrRuRh2
_chemical_formula_sum 'Ir2 Ru2 Rh4'
_symmetry_space_group_name_H-M 'I -4 m 2'
_symmetry_Int_Tables_number 119
_symmetry_space_group_name_Hall 'I -4 -2'
_cell_length_a 3.782
_cell_length_b 3.782
_cell_length_c 7.574
_cell_angle_alpha 90.00
_cell_angle_beta 90.00
_cell_angle_gamma 90.00
loop_
_atom_site_label
_atom_site_type_symbol
_atom_site_fract_x
_atom_site_fract_y
_atom_site_fract_z
Ir1 Ir 0.000 0.000 0.000
Ru1 Ru 0.000 0.500 0.750
Rh1 Rh 0.000 0.000 0.500
Rh2 Rh 0.000 0.500 0.250
```

Properties
relative energy among the computed polymorphs = 10 meV/atom
M_tot = 0.0 μB/f.u.
DFT formation energy = -0.007 eV per atom

---

No. 4
VASP calculation (PBEsol) on an optimized crystal structure of BaLa2Ni.

```
data_BaLa2Ni
_chemical_formula_sum 'Ba3 La6 Ni3'
_symmetry_space_group_name_H-M 'R -3 m'
_symmetry_Int_Tables_number 166
_symmetry_space_group_name_Hall '-R 3 2"'
_cell_length_a 4.0716
_cell_length_b 4.0716
_cell_length_c 29.5268
_cell_angle_alpha 90.00
_cell_angle_beta 90.00
_cell_angle_gamma 120.00
loop_
_atom_site_label
_atom_site_type_symbol
_atom_site_fract_x
_atom_site_fract_y
_atom_site_fract_z
Ba1 Ba 0.0000 0.0000 0.0000
La1 La 0.0000 0.0000 0.2176
Ni1 Ni 0.0000 0.0000 0.5000
```

Properties
M_tot = 0.0 μB/f.u.
DFT formation energy = -0.058 eV per atom

---

No. 5
VASP calculation (PBEsol) on an optimized crystal structure of LaCoSi.

```
data_LaCoSi
_chemical_formula_sum 'La2 Co2 Si2'
_symmetry_space_group_name_H-M 'I 4 m m'
_symmetry_Int_Tables_number 107
_symmetry_space_group_name_Hall 'I 4 -2'
_cell_length_a 3.029
_cell_length_b 3.029
_cell_length_c 11.112
_cell_angle_alpha 90.00
_cell_angle_beta 90.00
_cell_angle_gamma 90.00
loop_
_atom_site_label
_atom_site_type_symbol
_atom_site_fract_x
_atom_site_fract_y
_atom_site_fract_z
La1 La 0.000 0.000 0.000
Co1 Co 0.000 0.000 0.302
Si1 Si 0.000 0.000 0.715
```

Properties
M_tot = 0.4 μB/f.u.
formation energy without anion corrections = -339 meV per atom

---

No. 6
VASP calculation (PBEsol) on an optimized crystal structure of Ba4NdRu3O12.

```
data_Ba4NdRu3O12
_chemical_formula_sum 'Ba8 Nd2 Ru6 O24'
_symmetry_space_group_name_H-M 'C 1 2/m 1'
_symmetry_Int_Tables_number 12
_symmetry_space_group_name_Hall '-C 2y'
_cell_length_a 10.202
_cell_length_b 5.882
_cell_length_c 10.594
_cell_angle_alpha 90.00
_cell_angle_beta 111.61
_cell_angle_gamma 90.00
loop_
_atom_site_label
_atom_site_type_symbol
_atom_site_fract_x
_atom_site_fract_y
_atom_site_fract_z
Ba1 Ba 0.129 0.000 0.391
Ba2 Ba 0.225 0.500 0.152
Nd1 Nd 0.000 0.000 0.000
Ru1 Ru 0.000 0.500 0.500
Ru2 Ru 0.072 0.500 0.755
O1 O 0.016 0.265 0.850
O2 O 0.116 0.269 0.633
O3 O 0.123 0.500 0.392
O4 O 0.240 0.000 0.111
```

Properties
M_tot = 2.8 μB/f.u.
formation energy without anion corrections = -2118 meV per atom

---

Question: Which formula does entry 2 have?
Answer: Cd4P2Br3

---

Question: Which value of M_tot does entry 1 give?
Answer: 0.0 μB/f.u.

---

Question: Which value of M_tot does entry 1 give?
Answer: 0.0 μB/f.u.